{"formula": "Ho2ScPd", "functional": "PBE", "state": "relaxed", "lattice": [[1.820, -6.081, 0.000], [1.820, 6.081, 0.000], [0.000, 0.000, 8.988]], "species": ["Ho", "Ho", "Ho", "Ho", "Sc", "Sc", "Pd", "Pd"], "frac_coords": [[0.133, 0.867, 0.556], [0.133, 0.867, 0.944], [0.867, 0.133, 0.056], [0.867, 0.133, 0.444], [0.443, 0.557, 0.750], [0.557, 0.443, 0.250], [0.251, 0.749, 0.250], [0.749, 0.251, 0.750]], "e_form_ev_per_atom": -0.44, "total_magnetization_mub_per_fu": 0.0, "final_energy_ev_per_cell": -44.870, "n_ef_per_ev_fu": 4.6}

{"formula": "BaIn2TePd", "functional": "PBE", "state": "relaxed", "lattice": [[5.209, 0.000, 0.000], [0.000, 5.209, 0.000], [0.000, 0.000, 6.110]], "species": ["Ba", "In", "In", "Te", "Pd"], "frac_coords": [[0.000, 0.000, 0.000], [0.000, 0.500, 0.500], [0.500, 0.000, 0.500], [0.500, 0.500, 0.000], [0.000, 0.000, 0.500]], "total_magnetization_mub_per_fu": 0.0, "final_energy_ev_per_cell": -19.045, "raw_formation_energy_ev_per_atom": -0.66, "n_ef_per_ev_fu": 1.2}

{"formula": "Ac3Tb3DySe8", "functional": "PBE", "state": "relaxed", "lattice": [[4.194, 2.422, 7.151], [-4.194, 2.422, 7.151], [0.000, -4.843, 7.151]], "species": ["Ac", "Ac", "Ac", "Tb", "Tb", "Tb", "Dy", "Se", "Se", "Se", "Se", "Se", "Se", "Se", "Se"], "frac_coords": [[0.000, 0.500, 0.500], [0.500, 0.000, 0.500], [0.500, 0.500, 0.000], [0.000, 0.000, 0.500], [0.000, 0.500, 0.000], [0.500, 0.000, 0.000], [0.500, 0.500, 0.500], [0.239, 0.744, 0.744], [0.241, 0.241, 0.241], [0.256, 0.256, 0.761], [0.256, 0.761, 0.256], [0.744, 0.239, 0.744], [0.744, 0.744, 0.239], [0.759, 0.759, 0.759], [0.761, 0.256, 0.256]], "total_magnetization_mub_per_fu": 0.0, "final_energy_ev_per_cell": -86.649, "raw_formation_energy_ev_per_atom": -1.86, "n_ef_per_ev_fu": 7.4}

{"formula": "GaHgSeO6", "functional": "PBE", "state": "relaxed", "lattice": [[5.092, 0.000, 0.000], [-2.546, 4.410, 0.000], [0.000, 0.000, 4.852]], "species": ["Ga", "Hg", "Se", "O", "O", "O", "O", "O", "O"], "frac_coords": [[0.000, 0.000, 0.000], [0.667, 0.333, 0.500], [0.333, 0.667, 0.000], [0.052, 0.356, 0.787], [0.052, 0.696, 0.213], [0.304, 0.356, 0.213], [0.304, 0.948, 0.787], [0.644, 0.696, 0.787], [0.644, 0.948, 0.213]], "total_magnetization_mub_per_fu": 0.8, "final_energy_ev_per_cell": -42.685, "raw_formation_energy_ev_per_atom": -0.68, "n_ef_per_ev_fu": 7.4}